Density functional theory data (PBE) for a relaxed structure of NdPuAgRu.

a = 5.0488 Å, b = 5.0488 Å, c = 5.0488 Å
α = 60.00°, β = 60.00°, γ = 60.00°
Element x y z (fractional)
Nd 0.5000 0.5000 0.5000
Pu 0.0000 0.0000 0.0000
Ag 0.2500 0.2500 0.2500
Ru 0.7500 0.7500 0.7500

Computed properties:
symmetry	F-43m (216)
crystal system	cubic
total energy	-7.835	eV per atom